Arrangement one

A relaxed Ce2Ag3Hg2 crystal. Source: Alexandria, functional GGA-PBE.

Output
Symmetry = No. 65

a b c (Å): 3.1632 4.8507 10.8255
angles (deg): 102.95 90.00 90.00
With the nearest neighbours (Å) after each atom.
Sites, in units of the cell vectors:
Ce  0.0000  0.1460  0.2921  5 Ag 3.08-3.36, 2 Ce 3.16, 6 Hg 3.20-3.42
Ce  0.0000  0.8540  0.7079  5 Ag 3.08-3.36, 2 Ce 3.16, 6 Hg 3.20-3.42
Hg  0.5000  0.2897  0.5794  4 Hg 2.95-3.16, 1 Ag 3.06, 4 Ce 3.20
Hg  0.5000  0.7103  0.4206  4 Hg 2.95-3.16, 1 Ag 3.06, 4 Ce 3.20
Ag  0.5000  0.5651  0.1302  1 Ag 2.75, 1 Hg 3.06
Ag  0.5000  0.4349  0.8698  1 Ag 2.75, 1 Hg 3.06
Ag  0.0000  0.0000  0.0000  2 Ce 3.08, 10 Ag 3.16-3.20

Arrangement two

A relaxed Ce2Ag3Hg2 crystal. Source: Alexandria, functional GGA-PBE.

Output
Symmetry = No. 63

a b c (Å): 4.0092 8.4557 10.4719
angles (deg): 90.00 101.04 90.00
With the nearest neighbours (Å) after each atom.
Sites, in units of the cell vectors:
Ag  0.2322  0.7500  0.4645  6 Hg 2.83-3.07, 2 Ce 3.11
Ag  0.7678  0.2500  0.5355  6 Hg 2.83-3.07, 2 Ce 3.11
Ag  0.4456  0.9145  0.8912  2 Ag 2.66-2.78, 1 Hg 2.86
Ag  0.5544  0.4145  0.1088  2 Ag 2.66-2.78, 1 Hg 2.86
Ag  0.4456  0.5855  0.8912  2 Ag 2.66-2.78, 1 Hg 2.86
Ag  0.5544  0.0855  0.1088  2 Ag 2.66-2.78, 1 Hg 2.86
Hg  0.6821  0.5472  0.3643  4 Ag 2.83-3.07
Hg  0.3179  0.4528  0.6357  4 Ag 2.83-3.07
Hg  0.6821  0.9528  0.3643  4 Ag 2.83-3.07
Hg  0.3179  0.0472  0.6357  4 Ag 2.83-3.07
Ce  0.1522  0.2500  0.3043  6 Ag 3.11-3.16, 4 Hg 3.27
Ce  0.0631  0.7500  0.1262  9 Ag 3.43-3.48, 4 Hg 3.60
Ce  0.9369  0.2500  0.8738  9 Ag 3.43-3.48, 4 Hg 3.60
Ce  0.8478  0.7500  0.6957  6 Ag 3.11-3.16, 4 Hg 3.27

So which one is most stable? That would be arrangement two, about 2.8 kJ/mol of atoms below the next structure.

Arrangement one

A relaxed CePuAgHg crystal. Source: Alexandria, functional GGA-PBE.

Output
Symmetry = No. 216

a b c (Å): 5.0929 5.0929 5.0952
angles (deg): 119.99 119.99 90.00
With the nearest neighbours (Å) after each atom.
Sites, in units of the cell vectors:
Hg  0.5000  0.5000  0.0000  4 Ag 3.12, 4 Ce 3.12
Ag  0.2500  0.7500  0.5000  4 Hg 3.12, 4 Pu 3.12
Ce  0.7500  0.2500  0.5000  4 Hg 3.12, 4 Pu 3.12
Pu  0.0000  0.0000  0.0000  4 Ce 3.12, 4 Ag 3.12

Arrangement two

A relaxed CePuAgHg crystal. Source: Alexandria, functional GGA-PBE.

Output
Symmetry = No. 216

a b c (Å): 5.3059 5.3059 5.3059
angles (deg): 60.00 60.00 60.00
With the nearest neighbours (Å) after each atom.
Sites, in units of the cell vectors:
Ag  0.2500  0.2500  0.2500  4 Ce 3.25, 4 Pu 3.25
Ce  0.5000  0.5000  0.5000  4 Hg 3.25, 4 Ag 3.25
Pu  0.0000  0.0000  0.0000  4 Hg 3.25, 4 Ag 3.25
Hg  0.7500  0.7500  0.7500  4 Pu 3.25, 4 Ce 3.25

So which one is most stable? That would be arrangement one, about 6.4 kJ/mol of atoms below the next structure.

Arrangement one

A relaxed Ce2HoAg crystal. Source: Alexandria, functional GGA-PBE.

Output
Symmetry = No. 225

a b c (Å): 5.3705 5.3705 5.3716
angles (deg): 60.01 60.01 60.00
With the nearest neighbours (Å) after each atom.
Sites, in units of the cell vectors:
Ho  0.0000  0.0000  0.0000  8 Ce 3.29
Ce  0.7501  0.7501  0.7497  4 Ag 3.29, 4 Ho 3.29
Ce  0.2499  0.2499  0.2503  4 Ag 3.29, 4 Ho 3.29
Ag  0.5000  0.5000  0.5000  8 Ce 3.29

Arrangement two

A relaxed Ce2HoAg crystal. Source: Alexandria, functional GGA-PBE.

Output
Symmetry = No. 123

a b c (Å): 3.4774 5.6330 5.6330
angles (deg): 90.00 90.00 90.00
With the nearest neighbours (Å) after each atom.
Sites, in units of the cell vectors:
Ce  0.0000  0.5000  0.0000  4 Ho 3.31, 4 Ag 3.31, 2 Ce 3.48
Ce  0.0000  0.0000  0.5000  4 Ho 3.31, 4 Ag 3.31, 2 Ce 3.48
Ag  0.5000  0.0000  0.0000  8 Ce 3.31, 2 Ag 3.48
Ho  0.5000  0.5000  0.5000  8 Ce 3.31, 2 Ho 3.48

So which one is most stable? That would be arrangement two, about 6.6 kJ/mol of atoms below the next structure.

Arrangement one

A relaxed CeHoAg4 crystal. Source: Alexandria, functional GGA-PBE.

Output
Symmetry = No. 216

a b c (Å): 5.7241 5.7241 5.7241
angles (deg): 60.00 60.00 60.00
With the nearest neighbours (Å) after each atom.
Sites, in units of the cell vectors:
Ce  0.0000  0.0000  0.0000  12 Ag 3.36, 4 Ho 3.51
Ag  0.6247  0.6247  0.6247  6 Ag 2.85-2.87
Ag  0.6247  0.6247  0.1260  6 Ag 2.85-2.87
Ag  0.1260  0.6247  0.6247  6 Ag 2.85-2.87
Ag  0.6247  0.1260  0.6247  6 Ag 2.85-2.87
Ho  0.2500  0.2500  0.2500  12 Ag 3.36, 4 Ce 3.51

Arrangement two

A relaxed CeHoAg4 crystal. Source: Alexandria, functional GGA-PBE.

Output
Symmetry = No. 12

a b c (Å): 3.6672 5.4123 7.7467
angles (deg): 100.70 76.31 70.20
With the nearest neighbours (Å) after each atom.
Sites, in units of the cell vectors:
Ag  0.1527  0.5181  0.1765  5 Ag 3.03-3.24, 2 Ho 3.07, 3 Ce 3.11-3.17
Ag  0.8473  0.4819  0.8235  5 Ag 3.03-3.24, 2 Ho 3.07, 3 Ce 3.11-3.17
Ag  0.6726  0.9998  0.6549  5 Ag 2.97-3.24, 3 Ho 3.08-3.09, 2 Ce 3.18
Ag  0.3274  0.0002  0.3451  5 Ag 2.97-3.24, 3 Ho 3.08-3.09, 2 Ce 3.18
Ce  0.0000  0.0000  0.0000  10 Ag 3.11-3.18
Ho  0.5000  0.5000  0.5000  10 Ag 3.07-3.09

So which one is most stable? That would be arrangement two, about 8.4 kJ/mol of atoms below the next structure.

Arrangement one

A relaxed CeHo2Ag crystal. Source: Alexandria, functional GGA-PBE.

Output
Symmetry = No. 160

a b c (Å): 3.4765 3.4765 10.7735
angles (deg): 80.72 80.72 59.97
With the nearest neighbours (Å) after each atom.
Sites, in units of the cell vectors:
Ho  0.0745  0.0745  0.7754  3 Ag 3.11, 6 Ho 3.48
Ho  0.2589  0.2589  0.2242  3 Ag 3.11, 6 Ho 3.48
Ce  0.4999  0.4999  0.5004  6 Ce 3.48, 6 Ho 3.53-3.55
Ag  0.6668  0.6668  0.0001  6 Ho 3.11, 6 Ag 3.48

Arrangement two

A relaxed CeHo2Ag crystal. Source: Alexandria, functional GGA-PBE.

Output
Symmetry = No. 166

a b c (Å): 3.4641 3.4641 10.6553
angles (deg): 80.64 80.64 60.00
With the nearest neighbours (Å) after each atom.
Sites, in units of the cell vectors:
Ag  0.0000  0.0000  0.0000  6 Ho 3.12, 6 Ag 3.46
Ho  0.2572  0.2572  0.2285  3 Ag 3.12, 6 Ho 3.46, 3 Ce 3.48
Ho  0.7428  0.7428  0.7715  3 Ag 3.12, 6 Ho 3.46, 3 Ce 3.48
Ce  0.5000  0.5000  0.5000  6 Ce 3.46, 6 Ho 3.48

So which one is most stable? That would be arrangement two, about 2.4 kJ/mol of atoms below the next structure.

Arrangement one

A relaxed CeAgI6 crystal. Source: Alexandria, functional GGA-PBE.

Output
Symmetry = No. 12

a b c (Å): 8.0131 8.0131 7.2388
angles (deg): 105.06 105.06 102.85
With the nearest neighbours (Å) after each atom.
Sites, in units of the cell vectors:
I  0.2741  0.2741  0.8838  1 Ce 2.98, 1 Ag 3.18
I  0.0376  0.7073  0.6979  1 Ag 2.89, 1 Ce 3.08
I  0.7259  0.7259  0.1162  1 Ce 2.98, 1 Ag 3.18
I  0.9624  0.2927  0.3021  1 Ag 2.89, 1 Ce 3.08
I  0.7073  0.0376  0.6979  1 Ag 2.89, 1 Ce 3.08
I  0.2927  0.9624  0.3021  1 Ag 2.89, 1 Ce 3.08
Ag  0.0000  0.0000  0.0000  6 I 2.89-3.18
Ce  0.0000  0.0000  0.5000  6 I 2.98-3.08

Arrangement two

A relaxed CeAgI6 crystal. Source: Alexandria, functional GGA-PBE.

Output
Symmetry = No. 2

a b c (Å): 7.1195 8.1504 8.4327
angles (deg): 57.24 62.24 61.33
With the nearest neighbours (Å) after each atom.
Sites, in units of the cell vectors:
I  0.2461  0.8883  0.2794  1 Ag 2.83, 1 Ce 3.07
I  0.7539  0.1117  0.7206  1 Ag 2.83, 1 Ce 3.07
I  0.9078  0.5854  0.2354  1 Ag 2.85, 1 Ce 3.07
I  0.4010  0.7780  0.7705  1 Ce 2.98
I  0.5990  0.2220  0.2295  1 Ce 2.98
I  0.0922  0.4146  0.7646  1 Ag 2.85, 1 Ce 3.07
Ag  0.5000  0.5000  0.5000  4 I 2.83-2.85
Ce  0.0000  0.0000  0.0000  6 I 2.98-3.07

So which one is most stable? That would be arrangement one, about 5.4 kJ/mol of atoms below the next structure.